Density functional theory data (PBE) for Pm3Nd2Ga4 after structural relaxation.

Calculated values
Crystal system: monoclinic
Offset from the most stable computed form (kcal/mol of atoms): 0.00
E (eV per atom): -4.519
Calculated density (g/cm³): 6.8
DFT formation energy (eV per atom): -0.530
DOS(E_F) (states/eV/atom): 0.8734

a = 8.2014 Å, b = 8.2047 Å, c = 7.5927 Å
α = 90.00°, β = 105.85°, γ = 90.00°
Space group P2_1/c (No. 14)
Asymmetric unit:
Pm  0.0000  0.0000  0.0000 (multiplicity 2)
Pm  0.2640  0.1748  0.7473 (multiplicity 4)
Nd  0.3117  0.6846  0.9274 (multiplicity 4)
Ga  0.0112  0.6224  0.1170 (multiplicity 4)
Ga  0.4198  0.0298  0.1326 (multiplicity 4)